one.
Here is crystalline SmSi2NiGe at its relaxed geometry from OQMD via LeMat-Bulk. Energies are from PBE.

a b c (Å): 4.0655 21.3632 4.0253
angles (deg): 90.00 90.00 90.00
Closest atoms and distances in Å follow each position.
Space group Cmmm (No. 65)
Unique sites:
Sm1 0.0000 0.1697 0.0000 (multiplicity 4)  8 Si 3.04-3.16, 4 Ni 3.12, 2 Ge 3.14
Si1 0.0000 0.2817 0.5000 (multiplicity 4)  1 Ni 2.29, 2 Si 2.44
Si2 0.0000 0.4436 0.0000 (multiplicity 4)  2 Ni 2.33, 1 Si 2.41
Ni1 0.0000 0.3889 0.5000 (multiplicity 4)  3 Si 2.29-2.33, 2 Ge 2.34
Ge1 0.0000 0.0570 0.5000 (multiplicity 4)  2 Ni 2.34, 1 Ge 2.44

Size of the total moment in μB per formula unit: 0.0

two.
Here is crystalline SmSi2NiGe at its relaxed geometry from OQMD via LeMat-Bulk. Energies are from PBE.

a b c (Å): 4.0223 21.4941 4.0358
angles (deg): 90.00 90.00 90.00
Closest atoms and distances in Å follow each position.
Space group Cmmm (No. 65)
Unique sites:
Sm1 0.0000 0.1662 0.0000 (multiplicity 4)  6 Ge 3.04-3.25, 4 Si 3.13, 4 Ni 3.13
Si1 0.0000 0.0549 0.5000 (multiplicity 4)  2 Ni 2.29, 1 Si 2.36
Si2 0.0000 0.4452 0.0000 (multiplicity 4)  2 Ni 2.29, 1 Si 2.36
Ni1 0.0000 0.3946 0.5000 (multiplicity 4)  4 Si 2.29, 1 Ge 2.36
Ge1 0.0000 0.2849 0.5000 (multiplicity 4)  1 Ni 2.36, 2 Ge 2.51

Size of the total moment in μB per formula unit: 0.0

Q: Which of them is the least stable? A: one.

one.
Here is crystalline TbSi2NiGe at its relaxed geometry from OQMD via LeMat-Bulk. Energies are from PBE.

a b c (Å): 3.9881 21.3931 3.9930
angles (deg): 90.00 90.00 90.00
Closest atoms and distances in Å follow each position.
Space group Cmmm (No. 65)
Unique sites:
Tb1 0.0000 0.1659 0.0000 (multiplicity 4)  6 Ge 3.01-3.24, 4 Ni 3.10, 4 Si 3.10
Si1 0.0000 0.0551 0.5000 (multiplicity 4)  2 Ni 2.27, 1 Si 2.36
Si2 0.0000 0.4449 0.0000 (multiplicity 4)  2 Ni 2.28, 1 Si 2.36
Ni1 0.0000 0.3937 0.5000 (multiplicity 4)  4 Si 2.27-2.28, 1 Ge 2.33
Ge1 0.0000 0.2849 0.5000 (multiplicity 4)  1 Ni 2.33, 2 Ge 2.49

Size of the total moment in μB per formula unit: 0.0

two.
Here is crystalline TbSi2NiGe at its relaxed geometry from OQMD via LeMat-Bulk. Energies are from PBE.

a b c (Å): 4.0403 21.2306 3.9759
angles (deg): 90.00 90.00 90.00
Closest atoms and distances in Å follow each position.
Space group Cmmm (No. 65)
Unique sites:
Tb1 0.0000 0.1702 0.0000 (multiplicity 4)  8 Si 3.02-3.14, 4 Ni 3.09, 2 Ge 3.11
Si1 0.0000 0.2812 0.5000 (multiplicity 4)  1 Ni 2.26, 2 Si 2.42
Si2 0.0000 0.4433 0.0000 (multiplicity 4)  2 Ni 2.31, 1 Si 2.41
Ni1 0.0000 0.3878 0.5000 (multiplicity 4)  3 Si 2.26-2.31, 2 Ge 2.33
Ge1 0.0000 0.0574 0.5000 (multiplicity 4)  2 Ni 2.33, 1 Ge 2.44

Size of the total moment in μB per formula unit: 0.0

Q: Which of them is the least stable? A: two.